1.
Density functional theory data (PBE) for an optimized crystal structure of CaMg2CdRh.

* formation enthalpy at 0 K: -0.20 eV per atom
* SG: P4/mmm
* crystal system: tetragonal

Structure (POSCAR):
```
CaMg2CdRh
1.0
4.930 0.000 0.000
0.000 4.930 0.000
0.000 0.000 5.264
Ca Mg Rh Cd
1 2 1 1
Cartesian
2.465 2.465 2.632
2.465 0.000 0.000
0.000 2.465 0.000
0.000 0.000 0.000
0.000 0.000 2.632
```

***

2.
Density functional theory data (PBE) for an optimized crystal structure of Si2OsPb.

* formation energy from raw total energies: 0.962 eV/atom
* SG: Pmmm
* crystal system: orthorhombic

Structure (POSCAR):
```
Si2OsPb
1.0
3.288 0.000 0.000
0.000 4.648 0.000
0.000 0.000 4.645
Si Pb Os
2 1 1
Cartesian
1.644 2.324 0.000
0.000 0.000 0.000
0.000 2.324 2.323
1.644 0.000 2.323
```

***

3.
Density functional theory data (PBE) for an optimized crystal structure of Co2ReRu.

* formation enthalpy at 0 K: 0.09 eV per atom
* excess energy over the best structure of this formula in the dataset: 36 meV per atom
* SG: P4/mmm
* crystal system: tetragonal

Structure (POSCAR):
```
Co2ReRu
1.0
3.678 0.000 0.000
0.000 3.678 0.000
0.000 0.000 3.678
Co Ru Re
2 1 1
Cartesian
1.839 1.839 0.000
0.000 0.000 0.000
0.000 1.839 1.839
1.839 0.000 1.839
```

***

4.
Density functional theory data (PBE) for an optimized crystal structure of CsLiBr2.

* formation energy from raw total energies: -1.642 eV/atom
* SG: I-42d
* crystal system: tetragonal

Structure (POSCAR):
```
CsLiBr2
1.0
-1.531 -7.807 -0.431
5.433 -0.746 -5.780
5.154 -5.077 0.008
Br Cs Li
4 2 2
Cartesian
4.331 -3.536 -3.710
5.902 -7.094 -2.933
6.705 -11.213 -4.817
1.172 -5.417 -0.944
0.000 0.000 0.000
2.787 -8.580 -1.764
1.951 -4.277 -3.105
6.269 -5.050 -4.438
```

***

5.
Density functional theory data (PBE) for an optimized crystal structure of ZrBeP2O.

* excess energy over the best structure of this formula in the dataset: 0 meV per atom
* formation energy from raw total energies: -0.627 eV/atom
* SG: P4/mmm
* crystal system: tetragonal

Structure (POSCAR):
```
ZrBeP2O
1.0
5.001 0.000 0.000
0.000 5.001 0.000
0.000 0.000 2.887
P Zr O Be
2 1 1 1
Cartesian
2.501 0.000 0.000
0.000 2.501 0.000
2.501 2.501 1.444
0.000 0.000 1.444
0.000 0.000 0.000
```

***

6.
Density functional theory data (PBE) for an optimized crystal structure of SrLiSb2.

* excess energy over the best structure of this formula in the dataset: 98 meV per atom
* formation energy from raw total energies: -0.505 eV/atom
* SG: P4/mmm
* crystal system: tetragonal

Structure (POSCAR):
```
SrLiSb2
1.0
5.692 0.000 0.000
0.000 3.550 0.003
0.000 -0.004 5.692
Sb Li Sr
2 1 1
Cartesian
2.846 0.442 2.134
0.000 0.440 4.979
2.846 2.217 4.985
0.000 2.217 2.135
```

***

7.
Density functional theory data (PBE) for an optimized crystal structure of SmDy4In3.

* formation enthalpy at 0 K: -0.22 eV per atom
* excess energy over the best structure of this formula in the dataset: 93 meV per atom
* SG: Immm
* crystal system: orthorhombic

Structure (POSCAR):
```
SmDy4In3
1.0
-0.783 1.053 -3.242
6.703 -4.761 -3.165
-7.608 -4.144 2.379
Dy In Sm
4 3 1
Cartesian
2.982 -4.477 -4.060
-2.019 -5.257 -1.219
0.331 -2.595 -2.809
-4.671 -3.376 0.032
-1.727 -2.227 -0.306
0.038 -5.625 -3.722
3.351 -2.380 -1.582
-0.392 0.526 -1.621
```

***

8.
Density functional theory data (PBE) for an optimized crystal structure of Pr2ScZn.

* formation enthalpy at 0 K: -0.06 eV per atom
* excess energy over the best structure of this formula in the dataset: 38 meV per atom
* SG: P4/mmm
* crystal system: tetragonal

Structure (POSCAR):
```
Pr2ScZn
1.0
-0.090 0.480 -3.629
-1.184 -5.317 -0.674
-5.358 1.157 0.286
Pr Zn Sc
2 1 1
Cartesian
-2.679 0.578 0.143
-0.592 -2.659 -0.337
-0.045 0.240 -1.814
-3.316 -1.840 -2.008
```